AcCrAs2 after structural relaxation, computed with PBE.

## Properties
Space-group type: P4/mmm
Calculated formation energy: -0.26 eV per atom

Cell: 4.9220 4.9220 4.0012 Å, 90.00 90.00 90.00°
Last column: nearest neighbours and their distance in Å.
Element x y z (fractional)
Ac (0.0000, 0.0000, 0.0000)  8 As 3.17, 4 Cr 3.48
Cr (0.5000, 0.5000, 0.0000)  8 As 3.17, 4 Ac 3.48
As (0.0000, 0.5000, 0.5000)  4 Cr 3.17, 4 Ac 3.17, 4 As 3.48
As (0.5000, 0.0000, 0.5000)  4 Cr 3.17, 4 Ac 3.17, 4 As 3.48

***

LiCe3B2N6 after structural relaxation, computed with PBE.

## Properties
Space-group type: P-3m1
Energy relative to the elements, uncorrected: -1089 meV per atom

Cell: 5.4069 5.4069 5.8634 Å, 90.00 90.00 120.00°
Last column: nearest neighbours and their distance in Å.
Element x y z (fractional)
Li (0.0000, 0.0000, 0.0000)  6 N 2.16
Ce (0.0000, 0.0000, 0.5000)  6 N 2.32
Ce (0.3333, 0.6667, 0.1650)  1 B 2.52, 9 N 2.71-2.73
Ce (0.6667, 0.3333, 0.8350)  1 B 2.52, 9 N 2.71-2.73
B (0.3333, 0.6667, 0.7359)  3 N 1.45
B (0.6667, 0.3333, 0.2641)  3 N 1.45
N (0.1804, 0.3608, 0.7718)  1 B 1.45
N (0.1804, 0.8196, 0.7718)  1 B 1.45
N (0.3608, 0.1804, 0.2282)  1 B 1.45
N (0.6392, 0.8196, 0.7718)  1 B 1.45
N (0.8196, 0.1804, 0.2282)  1 B 1.45
N (0.8196, 0.6392, 0.2282)  1 B 1.45

***

Calculated calculated volume (Å³/atom), listed in the same order as above: 24.233 12.371